No. 1
Rb2TiRuF6 | GGA-PBE | relaxed

abc: 8.7924 8.7924 8.7924
angles: 90.00 90.00 90.00
Space group Fm-3m (No. 225)
Asymmetric unit:
Rb 0.2500 0.2500 0.2500 [8 per cell]
Ti 0.0000 0.0000 0.0000 [4 per cell]
Ru 0.0000 0.0000 0.5000 [4 per cell]
F 0.0000 0.0000 0.2247 [24 per cell]

Results
- Energy relative to the elements, uncorrected: -2354 meV/atom
- Calculated total energy: -5.39 eV/atom

---

No. 2
Ce2Pa5 | GGA-PBE | relaxed

abc: 3.9413 3.9413 22.3862
angles: 90.00 90.00 90.00
Space group I4/mmm (No. 139)
Asymmetric unit:
Ce 0.0000 0.0000 0.2139 [4 per cell]
Pa 0.0000 0.0000 0.0714 [4 per cell]
Pa 0.0000 0.0000 0.3585 [4 per cell]
Pa 0.0000 0.0000 0.5000 [2 per cell]

Results
- Formation energy: 72.6 meV per atom
- Energy relative to the lowest polymorph listed for this composition: 0.0000 eV/atom
- Calculated total energy: -8.41 eV/atom

---

In order of appearance, volume = 17.0 24.8 Å³ per atom.